No. 1
Below is an optimized crystal structure of AcPmHo2Hg4, with properties calculated at the PBE-GGA level.

**Energy**: -2.85 eV per atom
**DFT formation energy**: -0.443 eV/atom
**D(E_F)**: 8.5 states/eV/cell
**Total magnetization**: 0.689 μB/f.u.

Lattice parameters (Å, degrees): 5.376 5.376 9.517 73.59 73.59 60.00
Site moments in Bohr magnetons follow the coordinates.
Fractional positions:
Hg 0.128 0.128 0.617  0.01
Hg 0.618 0.618 0.145  0.01
Hg 0.872 0.872 0.383  0.01
Hg 0.382 0.382 0.855  0.01
Ho 0.753 0.753 0.740  0.12
Ho 0.247 0.247 0.260  0.12
Pm 0.500 0.500 0.500  0.11
Ac 0.000 0.000 0.000  0.04

---

No. 2
Below is an optimized crystal structure of AcPmHoHg, with properties calculated at the PBE-GGA level.

**Energy**: -3.40 eV per atom
**DFT formation energy**: 0.036 eV/atom
**D(E_F)**: 6.6 states/eV/cell
**Total magnetization**: 0.000 μB/f.u.

Lattice parameters (Å, degrees): 5.614 5.614 5.614 60.00 60.00 60.00
Fractional positions:
Pm 0.250 0.250 0.250
Ac 0.000 0.000 0.000
Hg 0.500 0.500 0.500
Ho 0.750 0.750 0.750

---

No. 3
Below is an optimized crystal structure of AcPrHo2Hg4, with properties calculated at the PBE-GGA level.

**Energy**: -2.85 eV per atom
**DFT formation energy**: -0.440 eV/atom
**D(E_F)**: 8.7 states/eV/cell
**Total magnetization**: 0.966 μB/f.u.

Lattice parameters (Å, degrees): 5.417 5.417 9.481 73.40 73.40 60.00
Site moments in Bohr magnetons follow the coordinates.
Fractional positions:
Pr 0.500 0.500 0.500  0.15
Hg 0.873 0.873 0.381  0.01
Hg 0.127 0.127 0.619  0.01
Hg 0.379 0.379 0.863  0.01
Hg 0.621 0.621 0.137  0.01
Ho 0.247 0.247 0.258  0.17
Ho 0.753 0.753 0.742  0.17
Ac 0.000 0.000 0.000  0.05

---

No. 4
Below is an optimized crystal structure of AcHoHgPt, with properties calculated at the PBE-GGA level.

**Energy**: -4.45 eV per atom
**DFT formation energy**: -0.690 eV/atom
**D(E_F)**: 2.9 states/eV/cell
**Total magnetization**: 0.000 μB/f.u.

Lattice parameters (Å, degrees): 5.324 5.324 5.324 60.00 60.00 60.00
Fractional positions:
Pt 0.750 0.750 0.750
Hg 0.250 0.250 0.250
Ac 0.500 0.500 0.500
Ho 0.000 0.000 0.000

---

No. 5
Below is an optimized crystal structure of AcSmHoHg, with properties calculated at the PBE-GGA level.

**Energy**: -3.39 eV per atom
**DFT formation energy**: 0.041 eV/atom
**D(E_F)**: 6.6 states/eV/cell
**Total magnetization**: 0.000 μB/f.u.

Lattice parameters (Å, degrees): 5.604 5.604 5.604 60.00 60.00 60.00
Fractional positions:
Ho 0.000 0.000 0.000
Hg 0.250 0.250 0.250
Ac 0.750 0.750 0.750
Sm 0.500 0.500 0.500

---

No. 6
Below is an optimized crystal structure of AcHoSnHg, with properties calculated at the PBE-GGA level.

**Energy**: -3.76 eV per atom
**DFT formation energy**: -0.509 eV/atom
**D(E_F)**: 3.8 states/eV/cell
**Total magnetization**: 0.000 μB/f.u.

Lattice parameters (Å, degrees): 5.530 5.530 5.530 60.00 60.00 60.00
Fractional positions:
Ho 0.000 0.000 0.000
Hg 0.750 0.750 0.750
Ac 0.500 0.500 0.500
Sn 0.250 0.250 0.250

---

Q: Which of these has the highest D(E_F)?
A: AcPrHo2Hg4

---

Q: What is the formula in the second record?
A: AcPmHoHg